(1)
# PmDy2Tm2Mg5

A geometry-optimized PmDy2Tm2Mg5 structure (PBE, Alexandria).

a b c (Å): 10.5717 10.5717 5.0907
angles (deg): 90.00 90.00 90.00
With the nearest neighbours (Å) after each atom.
Atoms (fractional coordinates):
Pm: 0.0000 0.0000 0.0000  8 Mg 3.39
Pm: 0.5000 0.5000 0.0000  8 Mg 3.39
Dy: 0.1782 0.3218 0.0000  3 Tm 3.05-3.19
Dy: 0.3218 0.8218 0.0000  3 Tm 3.05-3.19
Dy: 0.6782 0.1782 0.0000  3 Tm 3.05-3.19
Dy: 0.8218 0.6782 0.0000  3 Tm 3.05-3.19
Tm: 0.1176 0.6176 0.0000  3 Dy 3.05-3.19, 6 Mg 3.09-3.23
Tm: 0.3824 0.1176 0.0000  3 Dy 3.05-3.19, 6 Mg 3.09-3.23
Tm: 0.6176 0.8824 0.0000  3 Dy 3.05-3.19, 6 Mg 3.09-3.23
Tm: 0.8824 0.3824 0.0000  3 Dy 3.05-3.19, 6 Mg 3.09-3.23
Mg: 0.0000 0.5000 0.5000  4 Tm 3.09, 4 Mg 3.28
Mg: 0.0751 0.8014 0.5000  4 Mg 3.18-3.38, 2 Tm 3.23, 2 Pm 3.39
Mg: 0.1986 0.0751 0.5000  4 Mg 3.18-3.38, 2 Tm 3.23, 2 Pm 3.39
Mg: 0.3014 0.5751 0.5000  4 Mg 3.18-3.38, 2 Tm 3.23, 2 Pm 3.39
Mg: 0.4249 0.3014 0.5000  4 Mg 3.18-3.38, 2 Tm 3.23, 2 Pm 3.39
Mg: 0.5000 0.0000 0.5000  4 Tm 3.09, 4 Mg 3.28
Mg: 0.5751 0.6986 0.5000  4 Mg 3.18-3.38, 2 Tm 3.23, 2 Pm 3.39
Mg: 0.6986 0.4249 0.5000  4 Mg 3.18-3.38, 2 Tm 3.23, 2 Pm 3.39
Mg: 0.8014 0.9249 0.5000  4 Mg 3.18-3.38, 2 Tm 3.23, 2 Pm 3.39
Mg: 0.9249 0.1986 0.5000  4 Mg 3.18-3.38, 2 Tm 3.23, 2 Pm 3.39

## Properties
* formation energy from the elements: 0.73 eV per formula unit



(2)
# Pm6Dy3Tm2Mg

A geometry-optimized Pm6Dy3Tm2Mg structure (PBE, Alexandria).

a b c (Å): 6.2032 6.2032 11.7067
angles (deg): 95.09 95.09 120.02
With the nearest neighbours (Å) after each atom.
Atoms (fractional coordinates):
Pm: 0.0854 0.4184 0.7530  1 Mg 3.51, 2 Tm 3.52, 3 Dy 3.57-3.58, 6 Pm 3.58
Pm: 0.2485 0.2485 0.2482  2 Tm 3.52, 1 Mg 3.53, 3 Dy 3.56, 6 Pm 3.58
Pm: 0.4184 0.0854 0.7530  1 Mg 3.51, 2 Tm 3.52, 3 Dy 3.57-3.58, 6 Pm 3.58
Pm: 0.5816 0.9146 0.2470  1 Mg 3.51, 2 Tm 3.52, 3 Dy 3.57-3.58, 6 Pm 3.58
Pm: 0.7515 0.7515 0.7518  2 Tm 3.52, 1 Mg 3.53, 3 Dy 3.56, 6 Pm 3.58
Pm: 0.9146 0.5816 0.2470  1 Mg 3.51, 2 Tm 3.52, 3 Dy 3.57-3.58, 6 Pm 3.58
Dy: 0.0000 0.0000 0.5000  6 Pm 3.56-3.57, 6 Dy 3.58
Dy: 0.3335 0.6665 0.5000  6 Pm 3.56-3.58, 6 Dy 3.58
Dy: 0.6665 0.3335 0.5000  6 Pm 3.56-3.58, 6 Dy 3.58
Tm: 0.1664 0.8336 0.0000  6 Pm 3.52, 3 Tm 3.58, 3 Mg 3.58
Tm: 0.8336 0.1664 0.0000  6 Pm 3.52, 3 Tm 3.58, 3 Mg 3.58
Mg: 0.5000 0.5000 0.0000  6 Pm 3.51-3.53, 6 Tm 3.58

## Properties
* formation energy from the elements: 0.30 eV per formula unit



(3)
# Pm6Dy2TmMg

A geometry-optimized Pm6Dy2TmMg structure (PBE, Alexandria).

a b c (Å): 8.7931 8.7931 9.5508
angles (deg): 94.10 94.10 116.60
With the nearest neighbours (Å) after each atom.
Atoms (fractional coordinates):
Pm: 0.0019 0.5673 0.1936  1 Mg 3.35, 4 Pm 3.35-3.69, 2 Dy 3.41-3.75, 1 Tm 3.54
Pm: 0.1246 0.7634 0.5512  1 Dy 3.44, 7 Pm 3.48-3.80, 2 Tm 3.57-3.82
Pm: 0.2366 0.8754 0.9488  1 Dy 3.44, 7 Pm 3.48-3.80, 2 Tm 3.57-3.82
Pm: 0.2934 0.4986 0.3875  3 Dy 3.16-3.41, 3 Pm 3.35-3.48, 2 Mg 3.36-3.47
Pm: 0.4327 0.9981 0.3064  1 Mg 3.35, 4 Pm 3.35-3.69, 2 Dy 3.41-3.75, 1 Tm 3.54
Pm: 0.4986 0.2934 0.8875  3 Dy 3.16-3.41, 3 Pm 3.35-3.48, 2 Mg 3.36-3.47
Pm: 0.5014 0.7066 0.1125  3 Dy 3.16-3.41, 3 Pm 3.35-3.48, 2 Mg 3.36-3.47
Pm: 0.5673 0.0019 0.6936  1 Mg 3.35, 4 Pm 3.35-3.69, 2 Dy 3.41-3.75, 1 Tm 3.54
Pm: 0.7066 0.5014 0.6125  3 Dy 3.16-3.41, 3 Pm 3.35-3.48, 2 Mg 3.36-3.47
Pm: 0.7634 0.1246 0.0512  1 Dy 3.44, 7 Pm 3.48-3.80, 2 Tm 3.57-3.82
Pm: 0.8754 0.2366 0.4488  1 Dy 3.44, 7 Pm 3.48-3.80, 2 Tm 3.57-3.82
Pm: 0.9981 0.4327 0.8064  1 Mg 3.35, 4 Pm 3.35-3.69, 2 Dy 3.41-3.75, 1 Tm 3.54
Dy: 0.2002 0.2991 0.0505  5 Pm 3.16-3.44, 2 Tm 3.36-3.45, 1 Mg 3.48
Dy: 0.2991 0.2002 0.5505  5 Pm 3.16-3.44, 2 Tm 3.36-3.45, 1 Mg 3.48
Dy: 0.7009 0.7998 0.4495  5 Pm 3.16-3.44, 2 Tm 3.36-3.45, 1 Mg 3.48
Dy: 0.7998 0.7009 0.9495  5 Pm 3.16-3.44, 2 Tm 3.36-3.45, 1 Mg 3.48
Tm: 0.0215 0.9785 0.2500  4 Dy 3.36-3.45, 4 Pm 3.54-3.57
Tm: 0.9785 0.0215 0.7500  4 Dy 3.36-3.45, 4 Pm 3.54-3.57
Mg: 0.4099 0.5901 0.7500  6 Pm 3.35-3.47, 2 Dy 3.48
Mg: 0.5901 0.4099 0.2500  6 Pm 3.35-3.47, 2 Dy 3.48

## Properties
* formation energy from the elements: 1.18 eV per formula unit



(4)
# Pm2Dy6TmMg

A geometry-optimized Pm2Dy6TmMg structure (PBE, Alexandria).

a b c (Å): 10.9803 10.9803 6.5952
angles (deg): 94.01 94.01 126.57
With the nearest neighbours (Å) after each atom.
Atoms (fractional coordinates):
Pm: 0.1522 0.3166 0.4982  2 Tm 3.37-3.62, 7 Dy 3.41-3.69, 1 Mg 3.58
Pm: 0.3166 0.1522 0.9982  2 Tm 3.37-3.62, 7 Dy 3.41-3.69, 1 Mg 3.58
Pm: 0.6834 0.8478 0.0018  2 Tm 3.37-3.62, 7 Dy 3.41-3.69, 1 Mg 3.58
Pm: 0.8478 0.6834 0.5018  2 Tm 3.37-3.62, 7 Dy 3.41-3.69, 1 Mg 3.58
Dy: 0.0311 0.2028 0.9839  1 Mg 3.26, 4 Pm 3.41-3.57, 3 Dy 3.43-3.55
Dy: 0.0618 0.5850 0.2774  7 Dy 3.35-3.75, 2 Mg 3.35-3.38, 1 Pm 3.49
Dy: 0.2028 0.0311 0.4839  1 Mg 3.26, 4 Pm 3.41-3.57, 3 Dy 3.43-3.55
Dy: 0.2947 0.5885 0.9723  2 Tm 3.30-3.44, 6 Dy 3.31-3.66, 1 Mg 3.32, 2 Pm 3.42-3.69
Dy: 0.4115 0.7053 0.5277  2 Tm 3.30-3.44, 6 Dy 3.31-3.66, 1 Mg 3.32, 2 Pm 3.42-3.69
Dy: 0.4150 0.9382 0.2226  7 Dy 3.35-3.75, 2 Mg 3.35-3.38, 1 Pm 3.49
Dy: 0.5850 0.0618 0.7774  7 Dy 3.35-3.75, 2 Mg 3.35-3.38, 1 Pm 3.49
Dy: 0.5885 0.2947 0.4723  2 Tm 3.30-3.44, 6 Dy 3.31-3.66, 1 Mg 3.32, 2 Pm 3.42-3.69
Dy: 0.7053 0.4115 0.0277  2 Tm 3.30-3.44, 6 Dy 3.31-3.66, 1 Mg 3.32, 2 Pm 3.42-3.69
Dy: 0.7972 0.9689 0.5161  1 Mg 3.26, 4 Pm 3.41-3.57, 3 Dy 3.43-3.55
Dy: 0.9382 0.4150 0.7226  7 Dy 3.35-3.75, 2 Mg 3.35-3.38, 1 Pm 3.49
Dy: 0.9689 0.7972 0.0161  1 Mg 3.26, 4 Pm 3.41-3.57, 3 Dy 3.43-3.55
Tm: 0.4931 0.5069 0.2500  4 Dy 3.30-3.44, 2 Tm 3.31, 4 Pm 3.37-3.62
Tm: 0.5069 0.4931 0.7500  4 Dy 3.30-3.44, 2 Tm 3.31, 4 Pm 3.37-3.62
Mg: 0.2064 0.7936 0.7500  8 Dy 3.26-3.38, 2 Pm 3.58
Mg: 0.7936 0.2064 0.2500  8 Dy 3.26-3.38, 2 Pm 3.58

## Properties
* formation energy from the elements: 1.04 eV per formula unit



(5)
# Pm2Dy2TmMg5

A geometry-optimized Pm2Dy2TmMg5 structure (PBE, Alexandria).

a b c (Å): 10.5897 10.5897 5.0643
angles (deg): 90.00 90.00 90.00
With the nearest neighbours (Å) after each atom.
Atoms (fractional coordinates):
Pm: 0.1772 0.3228 0.0000  3 Dy 3.03-3.21
Pm: 0.3228 0.8228 0.0000  3 Dy 3.03-3.21
Pm: 0.6772 0.1772 0.0000  3 Dy 3.03-3.21
Pm: 0.8228 0.6772 0.0000  3 Dy 3.03-3.21
Dy: 0.1202 0.6202 0.0000  3 Pm 3.03-3.21, 6 Mg 3.11-3.23
Dy: 0.3798 0.1202 0.0000  3 Pm 3.03-3.21, 6 Mg 3.11-3.23
Dy: 0.6202 0.8798 0.0000  3 Pm 3.03-3.21, 6 Mg 3.11-3.23
Dy: 0.8798 0.3798 0.0000  3 Pm 3.03-3.21, 6 Mg 3.11-3.23
Tm: 0.0000 0.0000 0.0000  8 Mg 3.36
Tm: 0.5000 0.5000 0.0000  8 Mg 3.36
Mg: 0.0000 0.5000 0.5000  4 Dy 3.11, 4 Mg 3.29
Mg: 0.0679 0.8028 0.5000  3 Mg 3.12-3.29, 2 Dy 3.23, 2 Tm 3.36
Mg: 0.1972 0.0679 0.5000  3 Mg 3.12-3.29, 2 Dy 3.23, 2 Tm 3.36
Mg: 0.3028 0.5679 0.5000  3 Mg 3.12-3.29, 2 Dy 3.23, 2 Tm 3.36
Mg: 0.4321 0.3028 0.5000  3 Mg 3.12-3.29, 2 Dy 3.23, 2 Tm 3.36
Mg: 0.5000 0.0000 0.5000  4 Dy 3.11, 4 Mg 3.29
Mg: 0.5679 0.6972 0.5000  3 Mg 3.12-3.29, 2 Dy 3.23, 2 Tm 3.36
Mg: 0.6972 0.4321 0.5000  3 Mg 3.12-3.29, 2 Dy 3.23, 2 Tm 3.36
Mg: 0.8028 0.9321 0.5000  3 Mg 3.12-3.29, 2 Dy 3.23, 2 Tm 3.36
Mg: 0.9321 0.1972 0.5000  3 Mg 3.12-3.29, 2 Dy 3.23, 2 Tm 3.36

## Properties
* formation energy from the elements: 0.47 eV per formula unit



(6)
# Pm6DyTm2Mg

A geometry-optimized Pm6DyTm2Mg structure (PBE, Alexandria).

a b c (Å): 8.9195 8.9195 9.2215
angles (deg): 92.24 92.24 117.16
With the nearest neighbours (Å) after each atom.
Atoms (fractional coordinates):
Pm: 0.0083 0.4405 0.8021  5 Pm 3.33-3.66, 1 Mg 3.37, 1 Tm 3.40, 1 Dy 3.54
Pm: 0.1257 0.7797 0.5526  1 Tm 3.39, 7 Pm 3.45-3.68, 2 Dy 3.58-3.60
Pm: 0.2203 0.8743 0.9474  1 Tm 3.39, 7 Pm 3.45-3.68, 2 Dy 3.58-3.60
Pm: 0.2850 0.5107 0.3966  3 Tm 3.21-3.46, 4 Pm 3.33-3.58, 2 Mg 3.36-3.39
Pm: 0.4405 0.0083 0.3021  5 Pm 3.33-3.66, 1 Mg 3.37, 1 Tm 3.40, 1 Dy 3.54
Pm: 0.4893 0.7150 0.1034  3 Tm 3.21-3.46, 4 Pm 3.33-3.58, 2 Mg 3.36-3.39
Pm: 0.5107 0.2850 0.8966  3 Tm 3.21-3.46, 4 Pm 3.33-3.58, 2 Mg 3.36-3.39
Pm: 0.5595 0.9917 0.6979  5 Pm 3.33-3.66, 1 Mg 3.37, 1 Tm 3.40, 1 Dy 3.54
Pm: 0.7150 0.4893 0.6034  3 Tm 3.21-3.46, 4 Pm 3.33-3.58, 2 Mg 3.36-3.39
Pm: 0.7797 0.1257 0.0526  1 Tm 3.39, 7 Pm 3.45-3.68, 2 Dy 3.58-3.60
Pm: 0.8743 0.2203 0.4474  1 Tm 3.39, 7 Pm 3.45-3.68, 2 Dy 3.58-3.60
Pm: 0.9917 0.5595 0.1979  5 Pm 3.33-3.66, 1 Mg 3.37, 1 Tm 3.40, 1 Dy 3.54
Dy: 0.0290 0.9710 0.2500  4 Tm 3.35-3.56, 6 Pm 3.54-3.60
Dy: 0.9710 0.0290 0.7500  4 Tm 3.35-3.56, 6 Pm 3.54-3.60
Tm: 0.2062 0.3100 0.0527  5 Pm 3.21-3.46, 2 Dy 3.35-3.56, 1 Mg 3.43
Tm: 0.3100 0.2062 0.5527  5 Pm 3.21-3.46, 2 Dy 3.35-3.56, 1 Mg 3.43
Tm: 0.6900 0.7938 0.4473  5 Pm 3.21-3.46, 2 Dy 3.35-3.56, 1 Mg 3.43
Tm: 0.7938 0.6900 0.9473  5 Pm 3.21-3.46, 2 Dy 3.35-3.56, 1 Mg 3.43
Mg: 0.4208 0.5792 0.7500  6 Pm 3.36-3.39, 4 Tm 3.43-3.74
Mg: 0.5792 0.4208 0.2500  6 Pm 3.36-3.39, 4 Tm 3.43-3.74

## Properties
* formation energy from the elements: 1.21 eV per formula unit



(7)
# Pm2Dy6Tm3Mg

A geometry-optimized Pm2Dy6Tm3Mg structure (PBE, Alexandria).

a b c (Å): 6.0999 6.0999 11.6794
angles (deg): 95.02 95.02 120.05
With the nearest neighbours (Å) after each atom.
Atoms (fractional coordinates):
Pm: 0.1664 0.8336 0.0000  3 Pm 3.52, 3 Mg 3.52-3.53, 6 Dy 3.55
Pm: 0.8336 0.1664 0.0000  3 Pm 3.52, 3 Mg 3.52-3.53, 6 Dy 3.55
Dy: 0.0844 0.4163 0.7474  3 Tm 3.49-3.51, 6 Dy 3.51-3.53, 1 Mg 3.54, 2 Pm 3.55
Dy: 0.2517 0.2517 0.2535  3 Tm 3.48-3.49, 6 Dy 3.51-3.53, 2 Pm 3.55, 1 Mg 3.55
Dy: 0.4163 0.0844 0.7474  3 Tm 3.49-3.51, 6 Dy 3.51-3.53, 1 Mg 3.54, 2 Pm 3.55
Dy: 0.5837 0.9156 0.2526  3 Tm 3.49-3.51, 6 Dy 3.51-3.53, 1 Mg 3.54, 2 Pm 3.55
Dy: 0.7483 0.7483 0.7465  3 Tm 3.48-3.49, 6 Dy 3.51-3.53, 2 Pm 3.55, 1 Mg 3.55
Dy: 0.9156 0.5837 0.2526  3 Tm 3.49-3.51, 6 Dy 3.51-3.53, 1 Mg 3.54, 2 Pm 3.55
Tm: 0.0000 0.0000 0.5000  6 Dy 3.49, 6 Tm 3.51-3.53
Tm: 0.3343 0.6657 0.5000  6 Dy 3.48-3.51, 6 Tm 3.50-3.53
Tm: 0.6657 0.3343 0.5000  6 Dy 3.48-3.51, 6 Tm 3.50-3.53
Mg: 0.5000 0.5000 0.0000  6 Pm 3.52-3.53, 6 Dy 3.54-3.55

## Properties
* formation energy from the elements: 0.26 eV per formula unit



(8)
# Pm2Dy4TmMg

A geometry-optimized Pm2Dy4TmMg structure (PBE, Alexandria).

a b c (Å): 4.9718 4.9718 10.0614
angles (deg): 90.00 90.00 90.00
With the nearest neighbours (Å) after each atom.
Atoms (fractional coordinates):
Pm: 0.0000 0.0000 0.0000  4 Mg 3.52, 8 Dy 3.54
Pm: 0.5000 0.5000 0.5000  4 Tm 3.52, 8 Dy 3.54
Dy: 0.0000 0.5000 0.2498  4 Dy 3.52, 2 Mg 3.54, 4 Pm 3.54, 2 Tm 3.54
Dy: 0.0000 0.5000 0.7502  4 Dy 3.52, 2 Mg 3.54, 4 Pm 3.54, 2 Tm 3.54
Dy: 0.5000 0.0000 0.2498  4 Dy 3.52, 2 Mg 3.54, 4 Pm 3.54, 2 Tm 3.54
Dy: 0.5000 0.0000 0.7502  4 Dy 3.52, 2 Mg 3.54, 4 Pm 3.54, 2 Tm 3.54
Tm: 0.0000 0.0000 0.5000  4 Pm 3.52, 8 Dy 3.54
Mg: 0.5000 0.5000 0.0000  4 Pm 3.52, 8 Dy 3.54

## Properties
* formation energy from the elements: 0.22 eV per formula unit



(9)
# Pm2DyTm4Mg

A geometry-optimized Pm2DyTm4Mg structure (PBE, Alexandria).

a b c (Å): 11.0446 5.0088 9.8334
angles (deg): 90.00 116.25 90.00
With the nearest neighbours (Å) after each atom.
Atoms (fractional coordinates):
Pm: 0.0030 0.0000 0.2512  8 Tm 3.48-3.52, 2 Mg 3.51, 2 Dy 3.51
Pm: 0.4970 0.5000 0.7488  8 Tm 3.48-3.52, 2 Mg 3.51, 2 Dy 3.51
Pm: 0.5030 0.5000 0.2512  8 Tm 3.48-3.52, 2 Mg 3.51, 2 Dy 3.51
Pm: 0.9970 0.0000 0.7488  8 Tm 3.48-3.52, 2 Mg 3.51, 2 Dy 3.51
Dy: 0.0000 0.5000 0.5000  8 Tm 3.49-3.52, 4 Pm 3.51
Dy: 0.5000 0.0000 0.5000  8 Tm 3.49-3.52, 4 Pm 3.51
Tm: 0.2452 0.5000 0.8768  3 Mg 3.42-3.56, 4 Tm 3.45-3.51, 1 Dy 3.49, 4 Pm 3.51-3.52
Tm: 0.2499 0.0000 0.6285  1 Mg 3.47, 4 Pm 3.48-3.50, 3 Dy 3.51-3.52, 4 Tm 3.51-3.56
Tm: 0.2501 0.5000 0.3715  1 Mg 3.47, 4 Pm 3.48-3.50, 3 Dy 3.51-3.52, 4 Tm 3.51-3.56
Tm: 0.2548 0.0000 0.1232  3 Mg 3.42-3.56, 4 Tm 3.45-3.51, 1 Dy 3.49, 4 Pm 3.51-3.52
Tm: 0.7452 0.0000 0.8768  3 Mg 3.42-3.56, 4 Tm 3.45-3.51, 1 Dy 3.49, 4 Pm 3.51-3.52
Tm: 0.7501 0.0000 0.3715  1 Mg 3.47, 4 Pm 3.48-3.50, 3 Dy 3.51-3.52, 4 Tm 3.51-3.56
Tm: 0.7499 0.5000 0.6285  1 Mg 3.47, 4 Pm 3.48-3.50, 3 Dy 3.51-3.52, 4 Tm 3.51-3.56
Tm: 0.7548 0.5000 0.1232  3 Mg 3.42-3.56, 4 Tm 3.45-3.51, 1 Dy 3.49, 4 Pm 3.51-3.52
Mg: 0.0000 0.5000 0.0000  8 Tm 3.42-3.56, 4 Pm 3.51
Mg: 0.5000 0.0000 0.0000  8 Tm 3.42-3.56, 4 Pm 3.51

## Properties
* formation energy from the elements: 0.25 eV per formula unit



(10)
# PmDyYMg

A geometry-optimized PmDyYMg structure (PBE, Alexandria).

a b c (Å): 3.6502 3.6502 9.1110
angles (deg): 90.00 90.00 90.00
With the nearest neighbours (Å) after each atom.
Atoms (fractional coordinates):
Pm: 0.0000 0.0000 0.0000  4 Dy 3.57, 4 Y 3.60, 4 Pm 3.65
Dy: 0.5000 0.5000 0.2704  4 Mg 3.31, 4 Pm 3.57, 4 Dy 3.65
Y: 0.5000 0.5000 0.7247  4 Mg 3.31, 4 Pm 3.60, 4 Y 3.65
Mg: 0.0000 0.0000 0.4975  4 Dy 3.31, 4 Y 3.31, 4 Mg 3.65

## Properties
* polymorph energy (0 for the lowest one): 0.00 eV per formula unit
* formation energy from the elements: -0.14 eV per formula unit



(11)
# Pm2Dy6Y3Mg

A geometry-optimized Pm2Dy6Y3Mg structure (PBE, Alexandria).

a b c (Å): 6.1412 6.1412 11.7576
angles (deg): 95.02 95.02 120.05
With the nearest neighbours (Å) after each atom.
Atoms (fractional coordinates):
Pm: 0.1664 0.8336 0.0000  3 Pm 3.54-3.55, 3 Mg 3.54-3.55, 6 Dy 3.55
Pm: 0.8336 0.1664 0.0000  3 Pm 3.54-3.55, 3 Mg 3.54-3.55, 6 Dy 3.55
Dy: 0.0852 0.4170 0.7500  6 Dy 3.53-3.55, 1 Mg 3.54, 3 Y 3.54-3.56, 2 Pm 3.55
Dy: 0.2510 0.2510 0.2509  3 Y 3.53-3.54, 6 Dy 3.53-3.55, 2 Pm 3.55, 1 Mg 3.55
Dy: 0.4170 0.0852 0.7500  6 Dy 3.53-3.55, 1 Mg 3.54, 3 Y 3.54-3.56, 2 Pm 3.55
Dy: 0.5830 0.9148 0.2500  6 Dy 3.53-3.55, 1 Mg 3.54, 3 Y 3.54-3.56, 2 Pm 3.55
Dy: 0.7490 0.7490 0.7491  3 Y 3.53-3.54, 6 Dy 3.53-3.55, 2 Pm 3.55, 1 Mg 3.55
Dy: 0.9148 0.5830 0.2500  6 Dy 3.53-3.55, 1 Mg 3.54, 3 Y 3.54-3.56, 2 Pm 3.55
Y: 0.0000 0.0000 0.5000  6 Y 3.54-3.56, 6 Dy 3.54
Y: 0.3344 0.6656 0.5000  6 Y 3.52-3.56, 6 Dy 3.53-3.56
Y: 0.6656 0.3344 0.5000  6 Y 3.52-3.56, 6 Dy 3.53-3.56
Mg: 0.5000 0.5000 0.0000  6 Dy 3.54-3.55, 6 Pm 3.54-3.55

## Properties
* formation energy from the elements: 0.28 eV per formula unit



(12)
# Pm2DyY4Mg

A geometry-optimized Pm2DyY4Mg structure (PBE, Alexandria).

a b c (Å): 5.0000 5.0000 10.1497
angles (deg): 90.00 90.00 90.00
With the nearest neighbours (Å) after each atom.
Atoms (fractional coordinates):
Pm: 0.0000 0.0000 0.0000  4 Mg 3.54, 8 Y 3.55
Pm: 0.5000 0.5000 0.5000  4 Dy 3.54, 8 Y 3.58
Dy: 0.0000 0.0000 0.5000  4 Pm 3.54, 8 Y 3.58
Y: 0.0000 0.5000 0.2482  4 Y 3.54, 2 Mg 3.55, 4 Pm 3.55-3.58, 2 Dy 3.58
Y: 0.0000 0.5000 0.7518  4 Y 3.54, 2 Mg 3.55, 4 Pm 3.55-3.58, 2 Dy 3.58
Y: 0.5000 0.0000 0.2482  4 Y 3.54, 2 Mg 3.55, 4 Pm 3.55-3.58, 2 Dy 3.58
Y: 0.5000 0.0000 0.7518  4 Y 3.54, 2 Mg 3.55, 4 Pm 3.55-3.58, 2 Dy 3.58
Mg: 0.5000 0.5000 0.0000  4 Pm 3.54, 8 Y 3.55

## Properties
* formation energy from the elements: 0.21 eV per formula unit